BaMn2N2, relaxed, DFT GGA-PBE; electronic total energy = -6.6504 eV per atom; V = 75.6 Å³/f.u.; energy relative to the lowest polymorph listed for this composition = 1112 meV/atom
1.0
-5.7067 -3.3258 2.7595
0.8585 -5.3522 -4.6754
1.7462 -1.4003 1.9236
Mn Ba N
4 2 4
Cartesian
0.7865 -4.2996 -1.5797
-1.8203 -7.4996 -1.5427
-3.8884 -5.7787 1.5874
-1.2816 -2.5787 1.5504
0.0000 0.0000 0.0000
-2.4241 -4.3390 -0.9580
-1.4426 -6.0265 -3.0774
-4.5296 -6.2327 -0.4252
-3.4056 -2.6515 1.1615
-0.3186 -2.4453 -1.4907

LaTeCI2, relaxed, DFT GGA-PBE; electronic total energy = -3.3456 eV per atom; V = 249.1 Å³/f.u.; energy relative to the lowest polymorph listed for this composition = 506 meV/atom
1.0
6.2270 0.0000 0.0000
0.0000 6.2270 0.0000
0.0000 0.0000 6.4249
I C Te La
2 1 1 1
Cartesian
0.0000 3.1135 0.0000
3.1135 0.0000 0.0000
3.1135 3.1135 3.2124
0.0000 0.0000 3.2124
0.0000 0.0000 0.0000

Nd6Ga3Ru, relaxed, DFT GGA-PBE; electronic total energy = -4.8986 eV per atom; formation enthalpy at 0 K = -0.202 eV per atom; V = 309.3 Å³/f.u.
1.0
-0.5355 1.1858 -8.5402
-8.2605 -1.9567 1.6008
-0.0719 8.2667 2.5069
Nd Ga Ru
12 6 2
Cartesian
-8.2709 -1.0853 -1.0200
-7.8667 3.8018 3.0494
-7.0554 2.6803 -2.4896
-6.1308 -0.0466 -6.9317
-5.0128 6.1201 -0.7590
-4.8002 2.6571 0.3842
-4.0677 4.8387 -4.8167
-3.8552 1.3757 -3.6735
-2.7372 7.5425 2.4992
-1.8126 4.8156 -1.9429
-1.0013 3.6940 -7.4819
-0.5971 8.5811 -3.4125
-7.4293 4.5005 0.1145
-6.2696 2.5983 -5.4224
-5.4980 0.1669 -1.2089
-3.3700 7.3289 -3.2236
-2.5984 4.8975 0.9899
-1.4387 2.9953 -4.5470
0.0000 0.0000 0.0000
-4.4340 3.7479 -2.2163

La2Se, relaxed, DFT GGA-PBE; electronic total energy = -5.4640 eV per atom; V = 94.6 Å³/f.u.
1.0
7.2757 0.0012 0.0000
5.3566 4.9237 0.0000
-6.3162 -2.4624 2.6417
La Se
2 1
Cartesian
4.6575 1.8158 0.0000
7.9748 3.1091 0.0000
0.0000 0.0000 0.0000

Tb4TeAu, relaxed, DFT GGA-PBE; electronic total energy = -4.8925 eV per atom; V = 165.7 Å³/f.u.; energy relative to the lowest polymorph listed for this composition = 0 meV/atom
1.0
3.9638 0.0000 0.0000
0.0000 8.4406 0.0000
0.0000 0.0000 19.8062
Tb Te Au
16 4 4
Cartesian
2.9728 7.0768 12.9379
0.9909 1.3638 6.8683
0.9909 5.5841 3.0348
2.9728 2.8565 16.7714
2.9728 7.4252 8.7248
0.9909 1.0154 11.0814
0.9909 5.2357 18.6279
2.9728 3.2049 1.1783
2.9728 8.2311 18.3733
0.9909 0.2094 1.4329
0.9909 4.4297 8.4702
2.9728 4.0109 11.3361
2.9728 8.3268 4.3280
0.9909 0.1138 15.4782
0.9909 4.3341 14.2311
2.9728 4.1065 5.5751
2.9728 6.0351 16.0907
0.9909 2.4055 3.7155
0.9909 6.6258 6.1876
2.9728 1.8148 13.6186
2.9728 2.1706 8.9305
0.9909 6.2700 10.8758
0.9909 2.0497 18.8336
2.9728 6.3909 0.9726

TaZn2Co, relaxed, DFT GGA-PBE; electronic total energy = -5.2187 eV per atom; formation enthalpy at 0 K = 0.158 eV per atom; V = 59.0 Å³/f.u.; energy relative to the lowest polymorph listed for this composition = 236 meV/atom
1.0
9.0873 0.0400 0.0235
8.6565 2.7649 0.0235
8.6565 1.3684 2.4026
Co Ta Zn
1 1 2
Cartesian
6.6001 1.0433 0.6124
19.8002 3.1300 1.8372
26.1763 4.1379 2.4288
13.4241 2.1221 1.2456

Pm2Dy5Y12, relaxed, DFT GGA-PBE; electronic total energy = -5.6761 eV per atom; formation enthalpy at 0 K = 0.118 eV per atom; V = 618.5 Å³/f.u.; energy relative to the lowest polymorph listed for this composition = 0 meV/atom
1.0
6.6402 0.8007 -0.3172
-2.2930 4.6116 -7.3865
-0.4961 0.1927 18.6933
Pm Dy Y
2 5 12
Cartesian
2.5676 5.3753 10.2092
1.2835 0.2297 0.7804
0.1296 3.1198 10.0947
0.3954 3.5102 1.0013
4.0991 5.5086 1.6429
3.4556 2.0948 9.9882
3.7214 2.4852 0.8948
5.9307 1.9894 3.2917
-1.0495 1.8968 13.3394
2.1260 3.5574 13.1272
-0.7307 4.5572 4.6521
2.7385 3.7925 4.2721
1.2220 5.2040 7.2110
2.6291 0.4010 3.7786
4.5817 1.0477 6.3375
1.1125 1.8124 6.7175
4.9006 3.7081 -2.3498
1.7250 2.0475 -2.1377
-2.0796 3.6156 7.6978

AcPr2Pb, relaxed, DFT GGA-PBE; electronic total energy = -4.6474 eV per atom; formation enthalpy at 0 K = -0.303 eV per atom; V = 136.1 Å³/f.u.; energy relative to the lowest polymorph listed for this composition = 0 meV/atom
1.0
-2.7367 4.1574 -0.9623
0.5180 -0.8367 -5.0880
-4.3314 -2.8450 0.0269
Pb Pr Ac
1 2 1
Cartesian
-1.3683 2.0787 -0.4812
-2.1657 -1.4225 0.0134
0.2590 -0.4184 -2.5440
-3.2750 0.2378 -3.0117

Pm3Sm2Tm4, relaxed, DFT GGA-PBE; electronic total energy = -4.5209 eV per atom; formation enthalpy at 0 K = 0.099 eV per atom; V = 294.0 Å³/f.u.
1.0
5.7284 0.0000 0.0000
-2.8642 4.1844 -3.9504
0.0000 -0.7535 12.9771
Pm Sm Tm
3 2 4
Cartesian
2.8642 0.0946 8.3688
0.0000 0.0000 0.0000
0.0000 3.3364 0.6578
2.8642 1.6739 2.0378
0.0000 1.7570 6.9888
2.8642 1.7681 -1.2162
0.0000 1.6629 10.2428
2.8642 2.5659 5.3603
0.0000 0.8650 3.6663

YEr2Tm, relaxed, DFT GGA-PBE; electronic total energy = -4.8746 eV per atom; formation enthalpy at 0 K = 0.141 eV per atom; V = 125.7 Å³/f.u.; energy relative to the lowest polymorph listed for this composition = 131 meV/atom
1.0
-4.9667 -0.9094 -2.4751
-0.3050 -0.4984 -5.5929
-1.1113 -5.0001 -2.3208
Y Tm Er
1 1 2
Cartesian
-3.1915 -3.2039 -5.1944
0.0000 0.0000 0.0000
-1.5957 -1.6020 -2.5972
-4.7872 -4.8059 -7.7916

RbI2O2, relaxed, DFT GGA-PBE; electronic total energy = -2.2600 eV per atom; V = 205.2 Å³/f.u.; energy relative to the lowest polymorph listed for this composition = 760 meV/atom
1.0
-2.1569 -2.8187 -3.6124
-1.3047 -3.4496 3.4706
-6.9405 3.8062 1.1741
I O Rb
2 2 1
Cartesian
-5.2010 -1.2311 0.5161
-3.4703 1.9031 0.5870
-0.6523 -1.7248 1.7353
-1.0784 -1.4094 -1.8062
0.0000 0.0000 0.0000

Ge2Bi2Te7, relaxed, DFT GGA-PBE; electronic total energy = -3.4491 eV per atom; V = 412.3 Å³/f.u.
1.0
-5.3924 3.4378 -1.0613
-0.2230 -3.4102 -7.2273
-4.0525 -6.3874 2.5868
Ge Bi Te
2 2 7
Cartesian
-3.2995 -0.7041 -1.5011
-6.3685 -5.6558 -4.2007
-2.9485 -5.5291 -0.2426
-1.3270 -4.2685 -4.3979
-6.3769 -3.9516 -6.3256
-1.6361 -1.1217 -3.6173
-3.2911 -2.4083 0.6238
-8.0318 -5.2381 -2.0845
-2.6962 1.7189 -0.5307
-3.9029 -4.9252 -3.0170
-5.7650 -1.4347 -2.6848

Er3Al9Rh2, relaxed, DFT GGA-PBE; electronic total energy = -5.0988 eV per atom; formation enthalpy at 0 K = -0.665 eV per atom; V = 254.5 Å³/f.u.
1.0
4.1546 0.0000 1.1159
1.6117 7.5912 2.2916
0.0538 0.0276 8.0915
Er Al Rh
3 9 2
Cartesian
0.0000 0.0000 0.0000
3.4189 2.2521 3.8552
2.4013 5.3668 7.6438
0.8328 3.8094 5.1915
4.3290 7.5225 8.7587
1.4912 0.0964 2.7402
3.9001 5.4399 10.3557
1.9201 2.1789 1.1433
4.9982 6.4431 6.2672
0.8219 1.1757 5.2318
4.3244 3.1719 8.7757
1.4957 4.4470 2.7233
2.6367 2.4820 6.7674
3.1835 5.1369 4.7316

YCuC, relaxed, DFT GGA-PBE; electronic total energy = -6.5566 eV per atom; formation enthalpy at 0 K = 0.038 eV per atom; V = 42.2 Å³/f.u.
1.0
6.3392 0.0000 0.0000
0.0000 7.2726 0.0000
0.0000 0.0000 3.6612
Y C Cu
4 4 4
Cartesian
0.0000 0.0000 0.0000
3.1696 3.6363 1.8306
3.1696 0.0000 1.8306
0.0000 3.6363 0.0000
2.1098 1.8182 0.0001
1.0598 5.4545 1.8307
4.2294 5.4545 3.6611
5.2794 1.8182 1.8305
4.2278 1.8182 3.6611
5.2810 5.4545 1.8305
2.1114 5.4545 0.0001
1.0582 1.8182 1.8307

TbHoNiPt, relaxed, DFT GGA-PBE; electronic total energy = -6.1315 eV per atom; formation enthalpy at 0 K = -0.874 eV per atom; V = 85.2 Å³/f.u.; energy relative to the lowest polymorph listed for this composition = 0 meV/atom
1.0
3.8214 0.0000 0.0000
0.0000 4.3230 0.0000
-1.9107 0.0000 5.1559
Tb Ho Ni Pt
1 1 1 1
Cartesian
0.0000 0.0000 1.4577
1.9107 2.1615 3.7234
0.0000 0.0000 4.3316
1.9107 2.1615 0.7991

Hf5Fe4Co, relaxed, DFT GGA-PBE; electronic total energy = -9.4101 eV per atom; formation enthalpy at 0 K = -0.338 eV per atom; V = 154.7 Å³/f.u.
1.0
3.1412 0.0000 0.0000
0.0000 3.1412 0.0000
0.0000 0.0000 15.6749
Hf Fe Co
5 4 1
Cartesian
1.5706 1.5706 1.5766
1.5706 1.5706 4.6980
1.5706 1.5706 7.8375
1.5706 1.5706 10.9770
1.5706 1.5706 14.0983
0.0000 0.0000 3.1130
0.0000 0.0000 6.2672
0.0000 0.0000 9.4078
0.0000 0.0000 12.5619
0.0000 0.0000 0.0000

CsK2HgSe2, relaxed, DFT GGA-PBE; electronic total energy = -2.4828 eV per atom; V = 286.5 Å³/f.u.
1.0
5.2593 0.0000 0.0000
0.0000 7.9032 0.0000
0.0000 0.0000 13.7841
Cs K Hg Se
2 4 2 4
Cartesian
2.6296 3.9516 0.0000
0.0000 0.0000 6.8921
2.6296 0.5445 2.9320
0.0000 4.4961 3.9601
2.6296 7.3588 10.8522
0.0000 3.4072 9.8240
0.0000 0.0000 0.0000
2.6296 3.9516 6.8921
2.6296 5.9844 5.0567
2.6296 1.9188 8.7274
0.0000 5.8705 11.9487
0.0000 2.0328 1.8354

Mg2SbPb, relaxed, DFT GGA-PBE; electronic total energy = -2.8849 eV per atom; V = 111.8 Å³/f.u.; energy relative to the lowest polymorph listed for this composition = 0 meV/atom
1.0
-2.7066 -3.2342 1.8063
0.6916 -4.4143 -1.0412
3.1434 -3.0773 5.0265
Mg Sb Pb
2 1 1
Cartesian
2.2586 -2.9549 3.9199
0.2085 -2.6713 1.3559
1.7861 -8.1744 5.5192
0.5827 -5.3655 2.9190

Ce2HRh, relaxed, DFT GGA-PBE; electronic total energy = -6.0269 eV per atom; V = 79.6 Å³/f.u.; energy relative to the lowest polymorph listed for this composition = 125 meV/atom
1.0
-1.6713 2.2117 2.4662
-3.7027 0.0533 0.2341
-1.5751 -4.1377 5.4345
Ce H Rh
2 1 1
Cartesian
-1.6339 -2.8067 4.2009
-1.7334 -0.5568 2.1158
-3.4737 -0.9548 4.0846
-3.5826 1.5094 1.8008

UPaAl, relaxed, DFT GGA-PBE; electronic total energy = -8.0834 eV per atom; formation enthalpy at 0 K = 0.092 eV per atom; V = 63.9 Å³/f.u.; energy relative to the lowest polymorph listed for this composition = 127 meV/atom
1.0
-2.2569 1.9169 -2.1092
-1.0530 -3.0609 -1.6550
-1.8674 0.0180 5.1477
Pa U Al
1 1 1
Cartesian
-2.9627 -0.7776 -0.6697
-2.2186 -0.3489 2.0568
-5.1734 -1.1253 1.3799

Sr2LaAl, relaxed, DFT GGA-PBE; electronic total energy = -3.0887 eV per atom; formation enthalpy at 0 K = -0.080 eV per atom; V = 157.2 Å³/f.u.
1.0
-3.1609 -0.0795 -2.3124
2.0784 -1.8159 -2.7786
-0.5880 -10.8809 1.1778
Sr Al La
2 1 1
Cartesian
-0.5410 -10.7268 1.1082
-1.3885 -3.8184 -1.2887
0.6956 -6.5179 -0.7268
-0.2794 -8.9425 -2.6286

HfCd2CN, relaxed, DFT GGA-PBE; electronic total energy = -4.1519 eV per atom; V = 93.0 Å³/f.u.
1.0
4.0133 0.0000 0.0000
0.0000 5.7756 0.0000
0.0000 0.0000 4.0133
C N Hf Cd
1 1 1 2
Cartesian
0.0000 0.0000 0.0000
0.0000 2.8878 0.0000
2.0066 2.8878 2.0066
0.0000 0.0000 2.0066
2.0066 0.0000 0.0000

LaPm3Ru2, relaxed, DFT GGA-PBE; electronic total energy = -6.3771 eV per atom; formation enthalpy at 0 K = -0.089 eV per atom; V = 157.5 Å³/f.u.; energy relative to the lowest polymorph listed for this composition = 153 meV/atom
1.0
-0.2532 3.7899 3.4304
-3.2890 -7.6080 4.3446
8.2475 1.7210 -1.2927
La Pm Ru
2 6 4
Cartesian
5.2619 -0.6708 4.9476
-0.5565 -1.4263 1.5347
3.0072 -2.5633 3.0539
1.8148 -2.0148 6.1780
5.1255 1.6899 2.3293
-0.4202 -3.7870 4.1529
2.8905 -0.0823 0.3042
1.6981 0.4662 3.4284
6.9205 3.2294 0.7609
-2.2152 -5.3266 5.7214
-0.5105 -0.8847 4.7578
5.2159 -1.2124 1.7245

K2BeTl2, relaxed, DFT GGA-PBE; electronic total energy = -1.4127 eV per atom; formation enthalpy at 0 K = 0.718 eV per atom; V = 182.0 Å³/f.u.; energy relative to the lowest polymorph listed for this composition = 432 meV/atom
1.0
-1.2961 -2.9189 3.4486
3.6757 -2.7673 -0.9608
5.7936 1.4188 6.5814
Be Tl K
1 2 2
Cartesian
0.0000 0.0000 0.0000
2.0009 -2.0922 2.1843
6.1723 -2.1752 6.8849
2.8437 -2.1716 5.6369
5.3296 -2.0958 3.4322